Density functional theory data (PBE-GGA) for crystalline NbTcHRuI at its relaxed geometry.

Computed properties:
**V**: 19.0 A^3/atom
**Space-group type**: Cm (8)
**VASP energy**: -0.239 hartree per atom
**Size of the total moment**: 0.0 μB/cell
**Crystal system**: monoclinic

abc: 4.340 4.340 6.684
angles: 104.20 104.20 51.67
Atoms (fractional coordinates):
1 Nb 0.000 0.000 0.000
2 Tc 0.257 0.257 0.797
3 H 0.812 0.812 0.721
4 Ru 0.562 0.562 0.721
5 I 0.384 0.384 0.303